(1)
Below is an optimized crystal structure of Al2POs, with properties calculated at the GGA-PBE level.

Unit cell a=3.171 b=4.058 c=4.448 alpha=90.00 beta=90.00 gamma=90.00
Space group Pmmm (No. 47)
Inequivalent atoms, fractional coordinates:
Al (0.000, 0.000, 0.000) [1 per cell]
Al (0.500, 0.000, 0.500) [1 per cell]
P (0.000, 0.500, 0.500) [1 per cell]
Os (0.500, 0.500, 0.000) [1 per cell]

(2)
Below is an optimized crystal structure of Al2POs, with properties calculated at the GGA-PBE level.

Unit cell a=5.130 b=7.415 c=2.937 alpha=90.00 beta=90.00 gamma=90.00
Space group Cmmm (No. 65)
Inequivalent atoms, fractional coordinates:
Al (0.250, 0.250, 0.000) [4 per cell]
P (0.000, 0.000, 0.500) [2 per cell]
Os (0.000, 0.500, 0.500) [2 per cell]

(3)
Below is an optimized crystal structure of AlRePOs2, with properties calculated at the GGA-PBE level.

Unit cell a=4.421 b=4.421 c=4.513 alpha=90.00 beta=90.00 gamma=90.00
Space group P4/mmm (No. 123)
Inequivalent atoms, fractional coordinates:
Al (0.000, 0.000, 0.000) [1 per cell]
Re (0.000, 0.000, 0.500) [1 per cell]
P (0.500, 0.500, 0.500) [1 per cell]
Os (0.000, 0.500, 0.000) [2 per cell]

(4)
Below is an optimized crystal structure of Al2POsRu, with properties calculated at the GGA-PBE level.

Unit cell a=4.668 b=4.668 c=4.715 alpha=90.00 beta=90.00 gamma=90.00
Space group P4/mmm (No. 123)
Inequivalent atoms, fractional coordinates:
Al (0.000, 0.500, 0.000) [2 per cell]
P (0.000, 0.000, 0.500) [1 per cell]
Os (0.500, 0.500, 0.000) [1 per cell]
Ru (0.500, 0.500, 0.500) [1 per cell]

(5)
Below is an optimized crystal structure of AlPOsS2, with properties calculated at the GGA-PBE level.

## Properties
- formation energy (no corrections) (eV/atom) = 0.59
- polymorph energy (0 for the lowest one) (meV per atom) = 0

Unit cell a=4.786 b=4.786 c=4.466 alpha=90.00 beta=90.00 gamma=90.00
Space group P4/mmm (No. 123)
Inequivalent atoms, fractional coordinates:
Al (0.000, 0.000, 0.000) [1 per cell]
P (0.500, 0.500, 0.000) [1 per cell]
Os (0.500, 0.500, 0.500) [1 per cell]
S (0.000, 0.500, 0.500) [2 per cell]

(6)
Below is an optimized crystal structure of AlP2OsS, with properties calculated at the GGA-PBE level.

## Properties
- formation energy (no corrections) (eV/atom) = 0.60
- polymorph energy (0 for the lowest one) (meV per atom) = 0

Unit cell a=4.451 b=4.451 c=5.287 alpha=90.00 beta=90.00 gamma=90.00
Space group P4/mmm (No. 123)
Inequivalent atoms, fractional coordinates:
Al (0.000, 0.000, 0.000) [1 per cell]
P (0.000, 0.500, 0.500) [2 per cell]
Os (0.500, 0.500, 0.500) [1 per cell]
S (0.500, 0.500, 0.000) [1 per cell]

(7)
Below is an optimized crystal structure of AlPOsSe2, with properties calculated at the GGA-PBE level.

## Properties
- formation energy (no corrections) (eV/atom) = 1.19

Unit cell a=4.689 b=4.689 c=4.466 alpha=90.00 beta=90.00 gamma=90.00
Space group P4/mmm (No. 123)
Inequivalent atoms, fractional coordinates:
Al (0.000, 0.000, 0.000) [1 per cell]
P (0.000, 0.000, 0.500) [1 per cell]
Os (0.500, 0.500, 0.500) [1 per cell]
Se (0.000, 0.500, 0.000) [2 per cell]

(8)
Below is an optimized crystal structure of SrAl2POs, with properties calculated at the GGA-PBE level.

Unit cell a=5.727 b=5.727 c=5.210 alpha=90.00 beta=90.00 gamma=90.00
Space group P4/mmm (No. 123)
Inequivalent atoms, fractional coordinates:
Sr (0.000, 0.000, 0.000) [1 per cell]
Al (0.000, 0.500, 0.000) [2 per cell]
P (0.000, 0.000, 0.500) [1 per cell]
Os (0.500, 0.500, 0.500) [1 per cell]

| no. | electronic total energy (eV per formula unit) | M_tot (μB/cell) | DOS(E_F) (states/eV per cell) |
| --- | --- | --- | --- |
| 1 | -23.8 | 0.0 | 1.39 |
| 2 | -24.6 | 0.0 | 3.80 |
| 3 | -34.0 | 0.9 | 4.67 |
| 4 | -28.9 | 0.0 | 2.62 |
| 5 | -25.7 | 0.3 | 5.94 |
| 6 | -26.9 | 0.0 | 4.73 |
| 7 | -21.4 | 0.0 | 3.18 |
| 8 | -14.1 | 3.3 | 5.86 |